Entry 1:
5
Lattice="3.988 0.000 0.000 0.000 3.988 0.000 0.000 0.000 3.874" Properties=species:S:1:pos:R:3 comment="CuN2ClF (PBE, relaxed)" vol_a3_per_cell=61.6 e_form_raw_mev_per_atom=1321 dft_energy_ev_per_atom=-3.57 n_ef_per_ev_cell=3.54 relative_energy_ev_per_fu=0.000 pbc="T T T"
Cu 0.000 0.000 0.000
N 0.000 1.994 0.000
N 1.994 0.000 0.000
Cl 1.994 1.994 1.937
F 0.000 0.000 1.937



Entry 2:
10
Lattice="6.097 0.000 0.000 0.000 5.551 0.000 -2.947 0.000 8.828" Properties=species:S:1:pos:R:3 comment="Tb2DyTmMg (PBE, relaxed)" vol_a3_per_cell=298.8 dft_energy_ev_per_atom=-3.97 n_ef_per_ev_cell=12.95 pbc="T T T"
Tb -0.583 1.388 2.648
Tb 0.456 4.164 0.917
Tb 2.694 1.388 7.912
Tb 3.733 4.164 6.180
Dy 2.507 1.388 0.956
Dy 0.643 4.164 7.872
Tm 0.567 4.164 4.438
Tm 2.583 1.388 4.391
Mg -0.373 1.388 6.161
Mg 3.522 4.164 2.667



Entry 3:
8
Lattice="-3.396 3.396 2.658 3.396 -3.396 2.658 3.396 3.396 -2.658" Properties=species:S:1:pos:R:3 comment="FeMo2As (PBE, relaxed)" vol_a3_per_cell=122.6 dft_energy_ev_per_atom=-8.21 n_ef_per_ev_cell=8.03 pbc="T T T"
Fe 0.000 0.000 0.000
Fe 0.000 3.396 1.329
Mo 5.095 1.537 -0.664
Mo 1.537 1.698 0.664
Mo -1.698 1.859 1.993
Mo 1.859 1.698 3.322
As 3.396 0.000 1.329
As 0.000 0.000 2.658



Entry 4:
4
Lattice="3.918 0.000 0.000 0.000 3.918 0.000 0.000 0.000 11.504" Properties=species:S:1:pos:R:3 comment="NaSr2Nd (PBE, relaxed)" vol_a3_per_cell=176.6 dft_energy_ev_per_atom=-2.26 n_ef_per_ev_cell=5.00 relative_energy_ev_per_fu=0.000 pbc="T T T"
Na 0.000 0.000 0.000
Sr 1.959 1.959 2.912
Sr 1.959 1.959 8.592
Nd 0.000 0.000 5.752



Entry 5:
5
Lattice="4.948 0.000 0.000 0.000 4.948 0.000 0.000 0.000 5.155" Properties=species:S:1:pos:R:3 comment="SrYZnSi2 (PBE, relaxed)" vol_a3_per_cell=126.2 e_form_raw_mev_per_atom=299 dft_energy_ev_per_atom=-3.75 n_ef_per_ev_cell=3.29 pbc="T T T"
Sr 0.000 0.000 0.000
Y 2.474 2.474 0.000
Zn 2.474 2.474 2.577
Si 0.000 2.474 2.577
Si 2.474 0.000 2.577



Entry 6:
12
Lattice="3.269 1.887 10.892 -3.269 1.887 10.892 0.000 -3.774 10.892" Properties=species:S:1:pos:R:3 comment="CsMn2BiCl8 (PBE, relaxed)" vol_a3_per_cell=403.1 e_form_raw_mev_per_atom=-1182 dft_energy_ev_per_atom=-4.34 n_ef_per_ev_cell=0.00 pbc="T T T"
Cs 0.000 0.000 0.000
Mn 0.000 0.000 7.989
Mn 0.000 0.000 24.688
Bi 0.000 0.000 16.338
Cl -1.016 -1.857 14.561
Cl -1.100 -1.808 18.116
Cl 0.000 0.000 10.262
Cl -1.100 1.808 14.561
Cl -1.016 1.857 18.116
Cl 0.000 0.000 22.415
Cl 2.116 0.048 14.561
Cl 2.116 -0.048 18.116



Entry 7:
5
Lattice="4.288 0.000 0.000 0.000 4.288 0.000 0.000 0.000 5.479" Properties=species:S:1:pos:R:3 comment="RbVB2P (PBE, relaxed)" vol_a3_per_cell=100.7 dft_energy_ev_per_atom=-3.90 n_ef_per_ev_cell=5.07 pbc="T T T"
Rb 0.000 0.000 0.000
V 0.000 0.000 2.740
B 0.000 2.144 2.740
B 2.144 0.000 2.740
P 2.144 2.144 0.000



Entry 8:
12
Lattice="5.406 -3.616 0.000 5.406 3.616 0.000 -1.051 0.000 6.376" Properties=species:S:1:pos:R:3 comment="SiTeAu4 (PBE, relaxed)" vol_a3_per_cell=249.3 e_form_raw_mev_per_atom=74 dft_energy_ev_per_atom=-3.54 n_ef_per_ev_cell=4.95 relative_energy_ev_per_fu=0.000 pbc="T T T"
Si 0.090 0.000 2.024
Si 9.672 0.000 4.352
Te 2.694 0.000 5.060
Te 7.068 0.000 1.316
Au 4.064 2.147 0.509
Au 2.492 0.000 2.146
Au 4.881 1.410 3.188
Au 5.697 2.147 5.867
Au 4.064 -2.147 0.509
Au 4.881 -1.410 3.188
Au 7.269 0.000 4.230
Au 5.697 -2.147 5.867



Repeat the eighth record exactly.
12
Lattice="5.406 -3.616 0.000 5.406 3.616 0.000 -1.051 0.000 6.376" Properties=species:S:1:pos:R:3 comment="SiTeAu4 (PBE, relaxed)" vol_a3_per_cell=249.3 e_form_raw_mev_per_atom=74 dft_energy_ev_per_atom=-3.54 n_ef_per_ev_cell=4.95 relative_energy_ev_per_fu=0.000 pbc="T T T"
Si 0.090 0.000 2.024
Si 9.672 0.000 4.352
Te 2.694 0.000 5.060
Te 7.068 0.000 1.316
Au 4.064 2.147 0.509
Au 2.492 0.000 2.146
Au 4.881 1.410 3.188
Au 5.697 2.147 5.867
Au 4.064 -2.147 0.509
Au 4.881 -1.410 3.188
Au 7.269 0.000 4.230
Au 5.697 -2.147 5.867